1.
Below is a geometry-optimized KYV2Fe structure, with properties calculated at the PBE level.

Calculated values
The final energy comes out at -4.323 eV per atom.

Structure (POSCAR):
```
KYV2Fe
1.0
4.682 0.000 0.000
0.000 4.682 0.000
0.000 0.000 5.310
K Y V Fe
1 1 2 1
direct
0.000 0.000 0.000
0.000 0.000 0.500
0.000 0.500 0.500
0.500 0.000 0.500
0.500 0.500 0.000
```


2.
Below is a geometry-optimized Pr5Ho2Tm2 structure, with properties calculated at the PBE level.

Calculated values
Its energy above the most stable polymorph in this dataset is 1.35 eV per formula unit. The final energy comes out at -4.492 eV per atom.

Structure (POSCAR):
```
Pr5Ho2Tm2
1.0
-7.599 6.465 3.120
7.599 -6.465 3.120
7.599 6.465 -3.120
Pr Ho Tm
10 4 4
direct
0.162 0.489 0.960
0.162 0.702 0.172
0.198 0.049 0.247
0.198 0.451 0.648
0.529 0.202 0.040
0.529 0.989 0.828
0.578 0.502 0.576
0.802 0.549 0.352
0.802 0.951 0.753
0.927 0.002 0.424
0.219 0.025 0.693
0.332 0.525 0.307
0.413 0.413 0.000
0.413 0.913 0.500
0.798 0.213 0.314
0.798 0.984 0.085
0.899 0.484 0.686
0.899 0.713 0.915
```


Values of formation enthalpy at 0 K, in order: 2.529, 0.174, all in eV/atom.